# U2HRu6

U2HRu6 after structural relaxation (GGA-PBE, the Alexandria database).

Cell lengths 5.6798, 5.6798, 5.6798 Å; angles 60.00, 60.00, 60.00 degrees
Positions (direct):
H (0.5000, 0.5000, 0.5000)
U (0.7500, 0.7500, 0.7501)
U (0.2500, 0.2500, 0.2499)
Ru (0.2485, 0.2485, 0.7514)
Ru (0.2485, 0.7515, 0.7515)
Ru (0.2485, 0.7515, 0.2485)
Ru (0.7515, 0.2485, 0.7515)
Ru (0.7515, 0.7515, 0.2486)
Ru (0.7515, 0.2485, 0.2485)

Properties
As for the symmetry: Fm-3m, No. 225. The value obtained for the density of states at the Fermi level is 0.957 states/eV per atom. The total energy comes out at -84.40 eV/cell. Its size of the total moment is 0.000 μB per atom.